[1]
Entry from Alexandria: an optimized crystal structure of ZrCl (PBE-GGA). Values from VASP.

Results
ρ ... 4.637 g/cm³
Calculated volume ... 725.80 Å³ per cell
DOS(E_F) ... 15.50 states/eV/cell
Formation energy from raw total energies ... -0.6291 eV/atom

```
&SYSTEM
  ibrav = 0, nat = 32, ntyp = 2
/
ATOMIC_SPECIES
Zr 91.22 Zr.upf
Cl 35.45 Cl.upf
CELL_PARAMETERS angstrom
-4.700 -4.917 -3.322
4.801 -7.690 4.589
-5.902 0.689 7.330
ATOMIC_POSITIONS crystal
Zr 0.000 0.642 0.000
Zr 0.000 0.358 0.000
Zr 0.250 0.108 0.250
Zr 0.250 0.392 0.250
Zr 0.000 0.142 0.500
Zr 0.000 0.858 0.500
Zr 0.250 0.608 0.750
Zr 0.250 0.892 0.750
Zr 0.500 0.642 0.500
Zr 0.500 0.358 0.500
Zr 0.750 0.108 0.750
Zr 0.750 0.392 0.750
Zr 0.500 0.142 0.000
Zr 0.500 0.858 0.000
Zr 0.750 0.608 0.250
Zr 0.750 0.892 0.250
Cl 0.203 0.000 0.000
Cl 0.797 0.000 0.000
Cl 0.047 0.750 0.250
Cl 0.453 0.750 0.250
Cl 0.203 0.500 0.500
Cl 0.797 0.500 0.500
Cl 0.047 0.250 0.750
Cl 0.453 0.250 0.750
Cl 0.703 0.000 0.500
Cl 0.297 0.000 0.500
Cl 0.547 0.750 0.750
Cl 0.953 0.750 0.750
Cl 0.703 0.500 0.000
Cl 0.297 0.500 0.000
Cl 0.547 0.250 0.250
Cl 0.953 0.250 0.250
```


[2]
Entry from Alexandria: an optimized crystal structure of Sc2AlTl3Te6 (PBE-GGA). Values from VASP.

Results
ρ ... 6.561 g/cm³
Calculated volume ... 378.53 Å³ per cell
DOS(E_F) ... 1.34 states/eV/cell
Formation energy from raw total energies ... -0.7211 eV/atom

```
&SYSTEM
  ibrav = 0, nat = 12, ntyp = 4
/
ATOMIC_SPECIES
Sc 44.96 Sc.upf
Al 26.98 Al.upf
Tl 204.38 Tl.upf
Te 127.60 Te.upf
CELL_PARAMETERS angstrom
-2.646 5.213 4.459
2.864 -6.147 2.842
7.204 3.807 -2.201
ATOMIC_POSITIONS crystal
Sc 0.334 0.666 0.000
Sc 0.666 0.334 0.000
Al 0.000 0.000 0.000
Tl 0.172 0.828 0.500
Tl 0.828 0.172 0.500
Tl 0.500 0.500 0.500
Te 0.935 0.615 0.805
Te 0.745 0.745 0.201
Te 0.065 0.385 0.195
Te 0.615 0.935 0.805
Te 0.255 0.255 0.799
Te 0.385 0.065 0.195
```